Entry 1:
! SmDy4Er2, relaxed, DFT PBE-GGA; values from VASP
&SYSTEM
  ibrav = 0, nat = 7, ntyp = 3
/
ATOMIC_SPECIES
Sm 150.36 Sm.upf
Dy 162.50 Dy.upf
Er 167.26 Er.upf
CELL_PARAMETERS angstrom
8.3112 -1.7577 0.0000
8.3112 1.7577 0.0000
-4.2653 0.0000 7.5914
ATOMIC_POSITIONS crystal
Sm 0.0000 0.0000 0.0000
Dy 0.2952 0.2952 0.7061
Dy 0.3595 0.3595 0.1678
Dy 0.6405 0.6405 0.8322
Dy 0.7048 0.7048 0.2939
Er 0.0705 0.0705 0.4302
Er 0.9295 0.9295 0.5698
! Density of states at the Fermi level in states/eV/f.u.: 10.6
! Electronic total energy in eV per atom: -4.573
! Energy above the lowest structure with this stoichiometry in eV/atom: 0.000

---

Entry 2:
! Pa2PdPt, relaxed, DFT PBE-GGA; values from VASP
&SYSTEM
  ibrav = 0, nat = 4, ntyp = 3
/
ATOMIC_SPECIES
Pa 231.04 Pa.upf
Pd 106.42 Pd.upf
Pt 195.08 Pt.upf
CELL_PARAMETERS angstrom
4.4264 0.0000 0.0000
0.0000 4.4264 0.0000
0.0000 0.0000 4.2185
ATOMIC_POSITIONS crystal
Pa 0.0000 0.5000 0.0000
Pa 0.5000 0.0000 0.0000
Pd 0.0000 0.0000 0.5000
Pt 0.5000 0.5000 0.5000
! Density of states at the Fermi level in states/eV/f.u.: 6.3
! Electronic total energy in eV per atom: -8.147
! Energy above the lowest structure with this stoichiometry in eV/atom: 0.000

---

Entry 3:
! KNiCl, relaxed, DFT PBE-GGA; values from VASP
&SYSTEM
  ibrav = 0, nat = 6, ntyp = 3
/
ATOMIC_SPECIES
K 39.10 K.upf
Ni 58.69 Ni.upf
Cl 35.45 Cl.upf
CELL_PARAMETERS angstrom
5.3691 0.0000 0.0000
-2.6845 4.6498 0.0000
0.0000 0.0000 8.3091
ATOMIC_POSITIONS crystal
K 0.3333 0.6667 0.2500
K 0.6667 0.3333 0.7500
Ni 0.0000 0.0000 0.0000
Ni 0.0000 0.0000 0.5000
Cl 0.0000 0.0000 0.2500
Cl 0.0000 0.0000 0.7500
! Raw formation energy in eV per atom: -0.374
! Density of states at the Fermi level in states/eV/f.u.: 1.9
! Electronic total energy in eV per atom: -3.282
! Energy above the lowest structure with this stoichiometry in eV/atom: 0.242

---

Entry 4:
! Ho8Ga2Tc, relaxed, DFT PBE-GGA; values from VASP
&SYSTEM
  ibrav = 0, nat = 11, ntyp = 3
/
ATOMIC_SPECIES
Ho 164.93 Ho.upf
Ga 69.72 Ga.upf
Tc 98.00 Tc.upf
CELL_PARAMETERS angstrom
8.7230 -2.5313 0.0000
8.7230 2.5313 0.0000
-1.9203 0.0000 6.4895
ATOMIC_POSITIONS crystal
Ho 0.0228 0.0228 0.2856
Ho 0.1999 0.1999 0.7992
Ho 0.3432 0.3432 0.5429
Ho 0.4088 0.4088 0.0594
Ho 0.5912 0.5912 0.9406
Ho 0.6568 0.6568 0.4571
Ho 0.8001 0.8001 0.2008
Ho 0.9772 0.9772 0.7144
Ga 0.1875 0.1875 0.2182
Ga 0.8125 0.8125 0.7818
Tc 0.5000 0.5000 0.5000
! Density of states at the Fermi level in states/eV/f.u.: 9.6
! Electronic total energy in eV per atom: -5.059
! Energy above the lowest structure with this stoichiometry in eV/atom: 0.000

---

Q: What is the energy above the lowest structure with this stoichiometry in the first record?
A: 0.000 eV/atom

---

Repeat the third record exactly.
! KNiCl, relaxed, DFT PBE-GGA; values from VASP
&SYSTEM
  ibrav = 0, nat = 6, ntyp = 3
/
ATOMIC_SPECIES
K 39.10 K.upf
Ni 58.69 Ni.upf
Cl 35.45 Cl.upf
CELL_PARAMETERS angstrom
5.3691 0.0000 0.0000
-2.6845 4.6498 0.0000
0.0000 0.0000 8.3091
ATOMIC_POSITIONS crystal
K 0.3333 0.6667 0.2500
K 0.6667 0.3333 0.7500
Ni 0.0000 0.0000 0.0000
Ni 0.0000 0.0000 0.5000
Cl 0.0000 0.0000 0.2500
Cl 0.0000 0.0000 0.7500
! Raw formation energy in eV per atom: -0.374
! Density of states at the Fermi level in states/eV/f.u.: 1.9
! Electronic total energy in eV per atom: -3.282
! Energy above the lowest structure with this stoichiometry in eV/atom: 0.242

---

Q: Number 1 is which compound?
A: SmDy4Er2

---

Q: electronic total energy of number 4 (Ho8Ga2Tc)?
A: -5.059 eV per atom